(1)
A plane-wave DFT calculation with GGA-PBE was carried out for a relaxed AlCrHg2 crystal.

Summary:
E = -12.55 eV for the cell shown

Cell and atoms, written as POSCAR:
```
AlCrHg2
1.0
-1.9091 2.4086 -0.7560
-2.5065 -1.9217 0.2050
-0.7551 1.7999 7.6411
Hg Al Cr
2 1 1
Direct
0.0000 0.0000 0.9915
0.0000 0.0000 0.5085
0.5000 0.5000 0.2500
0.5000 0.5000 0.7500
```



(2)
A plane-wave DFT calculation with GGA-PBE was carried out for a relaxed AlCrHg2 crystal.

Summary:
E = -12.68 eV for the cell shown

Cell and atoms, written as POSCAR:
```
AlCrHg2
1.0
5.4823 -0.1200 -0.0558
4.5787 3.0176 -0.0558
1.4148 0.4075 4.5361
Al Hg Cr
1 2 1
Direct
0.5223 0.5223 0.5156
0.7635 0.7635 0.7086
0.9825 0.9825 0.0463
0.2317 0.2317 0.2294
```



(3)
A plane-wave DFT calculation with GGA-PBE was carried out for a relaxed AlCrHg2 crystal.

Summary:
E = -12.68 eV for the cell shown

Cell and atoms, written as POSCAR:
```
AlCrHg2
1.0
4.1742 0.0000 0.0000
0.0000 3.0148 -0.0233
0.0000 1.5671 6.1848
Hg Al Cr
2 1 1
Direct
0.0000 0.0669 0.9853
0.5000 0.4350 0.2614
0.0000 0.2874 0.5502
0.5000 0.7107 0.7031
```



(4)
A plane-wave DFT calculation with GGA-PBE was carried out for a relaxed AlCr2Hg crystal.

Summary:
E = -22.00 eV for the cell shown
energy relative to the lowest polymorph listed for this composition = 0.60 eV/f.u.

Cell and atoms, written as POSCAR:
```
AlCr2Hg
1.0
-3.0545 1.5576 2.9218
-2.3898 -2.8788 2.5089
0.7634 -0.2979 4.4296
Hg Cr Al
1 2 1
Direct
0.7500 0.7500 0.7500
0.2500 0.2500 0.2500
0.0000 0.0000 0.0000
0.5000 0.5000 0.5000
```



(5)
A plane-wave DFT calculation with GGA-PBE was carried out for a relaxed AlCrHg crystal.

Summary:
E = -12.90 eV for the cell shown
energy relative to the lowest polymorph listed for this composition = 0.00 eV/f.u.

Cell and atoms, written as POSCAR:
```
AlCrHg
1.0
-4.9394 -1.9949 4.0092
-2.0364 -4.9354 3.0890
4.4557 3.9040 -1.7186
Hg Cr Al
1 1 1
Direct
0.7924 0.6783 0.1141
0.3352 0.3468 0.9885
0.8724 0.9749 0.8975
```



(6)
A plane-wave DFT calculation with GGA-PBE was carried out for a relaxed AlCr2Hg crystal.

Summary:
E = -22.60 eV for the cell shown
energy relative to the lowest polymorph listed for this composition = 0.00 eV/f.u.

Cell and atoms, written as POSCAR:
```
AlCr2Hg
1.0
3.0361 0.0000 0.0000
0.0000 3.0361 0.0000
0.0000 0.0000 6.7599
Cr Al Hg
2 1 1
Direct
0.0000 0.0000 0.0171
0.5000 0.5000 0.1980
0.5000 0.5000 0.7972
0.0000 0.0000 0.4876
```



(7)
A plane-wave DFT calculation with GGA-PBE was carried out for a relaxed AlCr2Hg crystal.

Summary:
E = -21.44 eV for the cell shown
energy relative to the lowest polymorph listed for this composition = 1.16 eV/f.u.

Cell and atoms, written as POSCAR:
```
AlCr2Hg
1.0
2.6818 0.0042 0.0000
-0.4883 2.6370 0.0000
0.0000 0.0000 8.3804
Cr Al Hg
2 1 1
Direct
0.0000 0.0000 0.9797
0.0000 0.0000 0.5203
0.5000 0.5000 0.7500
0.5000 0.5000 0.2500
```



(8)
A plane-wave DFT calculation with GGA-PBE was carried out for a relaxed AlCr2Hg crystal.

Summary:
E = -22.11 eV for the cell shown
energy relative to the lowest polymorph listed for this composition = 0.49 eV/f.u.

Cell and atoms, written as POSCAR:
```
AlCr2Hg
1.0
4.3862 0.0000 0.0000
0.0000 3.0192 -0.2711
0.0000 0.4409 4.8704
Hg Al Cr
1 1 2
Direct
0.0000 0.6250 0.4755
0.5000 0.6254 0.7955
0.0000 0.1241 0.9802
0.5000 0.1255 0.2488
```



(9)
A plane-wave DFT calculation with GGA-PBE was carried out for a relaxed AlCrHg2 crystal.

Summary:
E = -24.34 eV for the cell shown

Cell and atoms, written as POSCAR:
```
AlCrHg2
1.0
4.2139 0.0000 0.0000
0.0000 4.2139 0.0000
2.1070 2.1070 9.7621
Hg Al Cr
4 2 2
Direct
0.3750 0.3740 0.7500
0.8750 0.8760 0.7500
0.6260 0.1250 0.2500
0.1240 0.6250 0.2500
0.2500 0.7500 0.5000
0.5000 0.5000 0.0000
0.7500 0.2500 0.5000
0.0000 0.0000 0.0000
```



(10)
A plane-wave DFT calculation with GGA-PBE was carried out for a relaxed AlCrHg2 crystal.

Summary:
E = -12.70 eV for the cell shown

Cell and atoms, written as POSCAR:
```
AlCrHg2
1.0
4.9401 -0.2008 0.0130
3.9784 2.9355 0.0130
0.9627 0.2952 5.0704
Hg Al Cr
2 1 1
Direct
0.9990 0.9990 0.0025
0.5010 0.5010 0.4975
0.7500 0.7500 0.7500
0.2500 0.2500 0.2500
```



(11)
A plane-wave DFT calculation with GGA-PBE was carried out for a relaxed AlCrHg2 crystal.

Summary:
E = -12.68 eV for the cell shown

Cell and atoms, written as POSCAR:
```
AlCrHg2
1.0
-4.8900 1.8779 0.9635
-2.4273 -2.4592 4.0531
4.7812 2.2569 -0.6430
Hg Cr Al
2 1 1
Direct
0.2500 0.7500 0.5000
0.0000 0.0000 0.0000
0.7500 0.2500 0.5000
0.5000 0.5000 0.0000
```



(12)
A plane-wave DFT calculation with GGA-PBE was carried out for a relaxed AlCr2Hg crystal.

Summary:
E = -22.11 eV for the cell shown
energy relative to the lowest polymorph listed for this composition = 0.49 eV/f.u.

Cell and atoms, written as POSCAR:
```
AlCr2Hg
1.0
5.1292 -0.0378 -0.0646
2.1737 4.6460 0.0646
-3.1450 -3.1068 2.6022
Cr Al Hg
2 1 1
Direct
0.7749 0.2749 0.5000
0.9794 0.9794 0.0000
0.2402 0.7402 0.5000
0.5055 0.5055 0.0000
```



(13)
A plane-wave DFT calculation with GGA-PBE was carried out for a relaxed AlCr2Hg crystal.

Summary:
E = -21.10 eV for the cell shown
energy relative to the lowest polymorph listed for this composition = 1.50 eV/f.u.

Cell and atoms, written as POSCAR:
```
AlCr2Hg
1.0
-5.1357 4.7838 -5.8061
-5.8109 2.2171 -6.6550
-7.1593 3.3745 -4.5087
Hg Cr Al
1 2 1
Direct
0.2500 0.2500 0.2500
0.4952 0.4952 0.4952
0.0048 0.0048 0.0048
0.7500 0.7500 0.7500
```



(14)
A plane-wave DFT calculation with GGA-PBE was carried out for a relaxed AlCrHg2 crystal.

Summary:
E = -12.73 eV for the cell shown

Cell and atoms, written as POSCAR:
```
AlCrHg2
1.0
4.2848 0.0000 0.0000
0.0000 4.2838 0.0000
0.0000 0.0000 4.0965
Cr Al Hg
1 1 2
Direct
0.0000 0.5000 0.5000
0.5000 0.0000 0.5000
0.5000 0.5000 0.0000
0.0000 0.0000 0.0000
```



(15)
A plane-wave DFT calculation with GGA-PBE was carried out for a relaxed AlCrHg crystal.

Summary:
E = -12.38 eV for the cell shown
energy relative to the lowest polymorph listed for this composition = 0.52 eV/f.u.

Cell and atoms, written as POSCAR:
```
AlCrHg
1.0
4.3758 0.0000 0.0000
2.1879 3.7896 0.0000
2.1879 1.2632 3.5729
Hg Al Cr
1 1 1
Direct
0.5000 0.5000 0.5000
0.7500 0.7500 0.7500
0.0000 0.0000 0.0000
```



(16)
A plane-wave DFT calculation with GGA-PBE was carried out for a relaxed AlCrHg2 crystal.

Summary:
E = -12.71 eV for the cell shown

Cell and atoms, written as POSCAR:
```
AlCrHg2
1.0
3.5449 0.0000 0.0000
0.0000 3.6896 0.0000
0.0000 0.0000 5.9523
Hg Al Cr
2 1 1
Direct
0.0000 0.0000 0.9985
0.0000 0.0000 0.5015
0.5000 0.5000 0.2500
0.5000 0.5000 0.7500
```



(17)
A plane-wave DFT calculation with GGA-PBE was carried out for a relaxed AlCr2Hg crystal.

Summary:
E = -21.88 eV for the cell shown
energy relative to the lowest polymorph listed for this composition = 0.72 eV/f.u.

Cell and atoms, written as POSCAR:
```
AlCr2Hg
1.0
-1.9021 1.9041 -3.0685
-2.2484 -1.5940 0.4046
-3.9171 2.2359 3.8157
Hg Cr Al
1 2 1
Direct
0.5000 0.2500 0.2500
0.0000 0.0190 0.9423
0.0000 0.4810 0.5577
0.5000 0.7500 0.7500
```



(18)
A plane-wave DFT calculation with GGA-PBE was carried out for a relaxed AlCr2Hg crystal.

Summary:
E = -22.18 eV for the cell shown
energy relative to the lowest polymorph listed for this composition = 0.42 eV/f.u.

Cell and atoms, written as POSCAR:
```
AlCr2Hg
1.0
3.8667 0.0000 0.0000
0.0000 3.9446 0.0000
0.0000 0.0000 4.2346
Cr Al Hg
2 1 1
Direct
0.0000 0.0000 0.0000
0.5000 0.5000 0.0000
0.0000 0.5000 0.5000
0.5000 0.0000 0.5000
```



(19)
A plane-wave DFT calculation with GGA-PBE was carried out for a relaxed AlCr2HgI crystal.

Summary:
E = -20.14 eV for the cell shown
uncorrected formation energy = 0.940 eV per atom

Cell and atoms, written as POSCAR:
```
AlCr2HgI
1.0
5.1677 0.0000 0.0000
0.0000 5.7024 0.0000
0.0000 0.0000 5.1677
Cr Hg I Al
2 1 1 1
Direct
0.0000 0.0000 0.5000
0.5000 0.0000 0.0000
0.5000 0.5000 0.5000
0.0000 0.5000 0.0000
0.0000 0.0000 0.0000
```



(20)
A plane-wave DFT calculation with GGA-PBE was carried out for a relaxed Al2CrHgI crystal.

Summary:
E = -15.74 eV for the cell shown
uncorrected formation energy = 0.645 eV per atom

Cell and atoms, written as POSCAR:
```
Al2CrHgI
1.0
-0.9442 -1.2600 -4.7554
-3.8302 -3.6090 1.7167
-3.4911 3.5832 -0.2562
Hg Al Cr I
1 2 1 1
Direct
0.0000 0.0000 0.0000
0.0000 0.0000 0.5000
0.5000 0.0000 0.0000
0.0000 0.5000 0.0000
0.5000 0.5000 0.5000
```



(21)
A plane-wave DFT calculation with GGA-PBE was carried out for a relaxed LaAlCrHg2 crystal.

Summary:
E = -17.64 eV for the cell shown

Cell and atoms, written as POSCAR:
```
LaAlCrHg2
1.0
5.0852 0.0000 0.0000
0.0000 5.0276 0.0000
0.0000 0.0000 5.0852
Al Hg La Cr
1 2 1 1
Direct
0.0000 0.0000 0.0000
0.5000 0.0000 0.0000
0.0000 0.0000 0.5000
0.5000 0.5000 0.5000
0.0000 0.5000 0.0000
```



(22)
A plane-wave DFT calculation with GGA-PBE was carried out for a relaxed AlCr2NiHg crystal.

Summary:
E = -24.36 eV for the cell shown

Cell and atoms, written as POSCAR:
```
AlCr2NiHg
1.0
4.7414 0.0000 0.0000
0.0000 4.2845 0.0000
0.0000 0.0000 4.7414
Hg Ni Al Cr
1 1 1 2
Direct
0.5000 0.5000 0.5000
0.0000 0.5000 0.0000
0.0000 0.0000 0.0000
0.0000 0.0000 0.5000
0.5000 0.0000 0.0000
```